# 1
Below is Ba2ScGa after structural relaxation, with properties calculated at the PBE level.

abc: 7.5273 7.5273 7.5273
angles: 101.14 101.14 127.84
Element x y z (fractional)
Ba 0.0819 0.6250 0.9569
Ba 0.3750 0.3319 0.4569
Ba 0.6681 0.1250 0.0431
Ba 0.8750 0.9181 0.5431
Sc 0.2500 0.7500 0.5000
Sc 0.5000 0.5000 0.0000
Ga 0.0000 0.0000 0.0000
Ga 0.7500 0.2500 0.5000

ΔH_f (0 K) (eV/atom): 0.31
DOS at the Fermi energy (states/eV/cell): 6.13



# 2
Below is BaScGaSe4 after structural relaxation, with properties calculated at the PBE level.

abc: 6.6454 7.0572 8.6981
angles: 90.00 107.63 90.00
Element x y z (fractional)
Ba 0.2344 0.2500 0.0529
Ba 0.7656 0.7500 0.9471
Sc 0.2179 0.2500 0.5535
Sc 0.7821 0.7500 0.4465
Ga 0.2323 0.7500 0.3350
Ga 0.7677 0.2500 0.6650
Se 0.0197 0.5100 0.7069
Se 0.0197 0.9900 0.7069
Se 0.4332 0.7500 0.1485
Se 0.4842 0.7500 0.5923
Se 0.5158 0.2500 0.4077
Se 0.5668 0.2500 0.8515
Se 0.9803 0.0100 0.2931
Se 0.9803 0.4900 0.2931

Formation energy from raw total energies (eV per atom): -1.34



# 3
Below is BaScGa2Sn after structural relaxation, with properties calculated at the PBE level.

abc: 5.3307 5.3307 5.5053
angles: 90.00 90.00 90.00
Element x y z (fractional)
Ba 0.0000 0.0000 0.0000
Sc 0.5000 0.5000 0.5000
Ga 0.0000 0.5000 0.5000
Ga 0.5000 0.0000 0.5000
Sn 0.5000 0.5000 0.0000

ΔH_f (0 K) (eV/atom): -0.20
DOS at the Fermi energy (states/eV/cell): 4.05



# 4
Below is BaScTaGa2 after structural relaxation, with properties calculated at the PBE level.

abc: 5.1535 5.1535 5.5810
angles: 90.00 90.00 90.00
Element x y z (fractional)
Ba 0.0000 0.0000 0.0000
Sc 0.5000 0.5000 0.0000
Ta 0.0000 0.0000 0.5000
Ga 0.0000 0.5000 0.5000
Ga 0.5000 0.0000 0.5000

ΔH_f (0 K) (eV/atom): 0.76
DOS at the Fermi energy (states/eV/cell): 5.17



# 5
Below is BaScGaTc2 after structural relaxation, with properties calculated at the PBE level.

abc: 4.8125 4.8125 5.8738
angles: 90.00 90.00 90.00
Element x y z (fractional)
Ba 0.0000 0.0000 0.0000
Sc 0.0000 0.0000 0.5000
Ga 0.5000 0.5000 0.0000
Tc 0.0000 0.5000 0.5000
Tc 0.5000 0.0000 0.5000

ΔH_f (0 K) (eV/atom): 1.43
DOS at the Fermi energy (states/eV/cell): 7.92



# 6
Below is Ba3Ga5Se12 after structural relaxation, with properties calculated at the PBE level.

abc: 14.4006 14.4006 14.4006
angles: 109.47 109.47 109.47
Element x y z (fractional)
Ba 0.1250 0.2500 0.3750
Ba 0.1250 0.3750 0.7500
Ba 0.2500 0.3750 0.1250
Ba 0.2500 0.8750 0.6250
Ba 0.3750 0.1250 0.2500
Ba 0.3750 0.7500 0.1250
Ba 0.6250 0.2500 0.8750
Ba 0.6250 0.8750 0.7500
Ba 0.7500 0.1250 0.3750
Ba 0.7500 0.6250 0.8750
Ba 0.8750 0.6250 0.2500
Ba 0.8750 0.7500 0.6250
Ga 0.0000 0.0000 0.0000
Ga 0.0000 0.0000 0.5000
Ga 0.0000 0.5000 0.0000
Ga 0.0000 0.5000 0.5000
Ga 0.1250 0.7500 0.8750
Ga 0.1250 0.8750 0.2500
Ga 0.2500 0.1250 0.8750
Ga 0.2500 0.6250 0.3750
Ga 0.3750 0.2500 0.6250
Ga 0.3750 0.6250 0.7500
Ga 0.5000 0.0000 0.0000
Ga 0.5000 0.0000 0.5000
Ga 0.5000 0.5000 0.0000
Ga 0.5000 0.5000 0.5000
Ga 0.6250 0.3750 0.2500
Ga 0.6250 0.7500 0.3750
Ga 0.7500 0.3750 0.6250
Ga 0.7500 0.8750 0.1250
Ga 0.8750 0.1250 0.7500
Ga 0.8750 0.2500 0.1250
Se 0.0192 0.2000 0.1094
Se 0.0192 0.3193 0.9099
Se 0.0901 0.6094 0.4094
Se 0.0901 0.9808 0.6807
Se 0.0906 0.7000 0.6807
Se 0.0906 0.8906 0.4099
Se 0.1094 0.0192 0.2000
Se 0.1094 0.5901 0.9094
Se 0.1807 0.2000 0.5906
Se 0.1807 0.4808 0.5901
Se 0.2000 0.1094 0.0192
Se 0.2000 0.5906 0.1807
Se 0.3000 0.3193 0.9094
Se 0.3000 0.4808 0.3906
Se 0.3193 0.9094 0.3000
Se 0.3193 0.9099 0.0192
Se 0.3906 0.3000 0.4808
Se 0.3906 0.5906 0.9099
Se 0.4094 0.0901 0.6094
Se 0.4094 0.8193 0.8000
Se 0.4099 0.0906 0.8906
Se 0.4099 0.8193 0.5192
Se 0.4808 0.3906 0.3000
Se 0.4808 0.5901 0.1807
Se 0.5192 0.4099 0.8193
Se 0.5192 0.6094 0.7000
Se 0.5901 0.1807 0.4808
Se 0.5901 0.9094 0.1094
Se 0.5906 0.1807 0.2000
Se 0.5906 0.9099 0.3906
Se 0.6094 0.4094 0.0901
Se 0.6094 0.7000 0.5192
Se 0.6807 0.0901 0.9808
Se 0.6807 0.0906 0.7000
Se 0.7000 0.5192 0.6094
Se 0.7000 0.6807 0.0906
Se 0.8000 0.4094 0.8193
Se 0.8000 0.8906 0.9808
Se 0.8193 0.5192 0.4099
Se 0.8193 0.8000 0.4094
Se 0.8906 0.4099 0.0906
Se 0.8906 0.9808 0.8000
Se 0.9094 0.1094 0.5901
Se 0.9094 0.3000 0.3193
Se 0.9099 0.0192 0.3193
Se 0.9099 0.3906 0.5906
Se 0.9808 0.6807 0.0901
Se 0.9808 0.8000 0.8906

Formation energy from raw total energies (eV per atom): -0.81
DOS at the Fermi energy (states/eV/cell): 88.90



# 7
Below is Ba2GaSe after structural relaxation, with properties calculated at the PBE level.

abc: 5.8139 5.8139 5.8139
angles: 60.00 60.00 60.00
Element x y z (fractional)
Ba 0.2500 0.2500 0.2500
Ba 0.7500 0.7500 0.7500
Ga 0.0000 0.0000 0.0000
Se 0.5000 0.5000 0.5000

ΔE to the lowest computed polymorph (eV per atom): 0.407
Formation energy from raw total energies (eV per atom): -0.77
DOS at the Fermi energy (states/eV/cell): 4.27



# 8
Below is BaGa4Se7 after structural relaxation, with properties calculated at the PBE level.

abc: 15.6971 6.6380 6.3732
angles: 90.00 90.00 90.00
Element x y z (fractional)
Ba 0.0000 0.1422 0.0000
Ba 0.5000 0.8578 0.5000
Ga 0.1207 0.6677 0.6598
Ga 0.2486 0.1813 0.6422
Ga 0.2514 0.8187 0.1422
Ga 0.3793 0.3323 0.1598
Ga 0.6207 0.3323 0.1598
Ga 0.7486 0.8187 0.1422
Ga 0.7514 0.1813 0.6422
Ga 0.8793 0.6677 0.6598
Se 0.0000 0.8614 0.5316
Se 0.1118 0.3182 0.5505
Se 0.1136 0.6961 0.0400
Se 0.2440 0.1783 0.0355
Se 0.2560 0.8217 0.5355
Se 0.3864 0.3039 0.5400
Se 0.3882 0.6818 0.0505
Se 0.5000 0.1386 0.0316
Se 0.6118 0.6818 0.0505
Se 0.6136 0.3039 0.5400
Se 0.7440 0.8217 0.5355
Se 0.7560 0.1783 0.0355
Se 0.8864 0.6961 0.0400
Se 0.8882 0.3182 0.5505

ΔE to the lowest computed polymorph (eV per atom): 0.004
Formation energy from raw total energies (eV per atom): -0.87
DOS at the Fermi energy (states/eV/cell): 0.00



# 9
Below is Ba2GaSe2 after structural relaxation, with properties calculated at the PBE level.

abc: 8.6805 8.6805 4.3519
angles: 90.00 90.00 90.00
Element x y z (fractional)
Ba 0.1551 0.3449 0.0000
Ba 0.3449 0.8449 0.0000
Ba 0.6551 0.1551 0.0000
Ba 0.8449 0.6551 0.0000
Ga 0.0000 0.0000 0.5000
Ga 0.5000 0.5000 0.5000
Se 0.1533 0.6533 0.5000
Se 0.3467 0.1533 0.5000
Se 0.6533 0.8467 0.5000
Se 0.8467 0.3467 0.5000

ΔE to the lowest computed polymorph (eV per atom): 0.000
Formation energy from raw total energies (eV per atom): -1.36
DOS at the Fermi energy (states/eV/cell): 1.49



# 10
Below is Ba2GaSe2 after structural relaxation, with properties calculated at the PBE level.

abc: 8.0527 8.0527 8.0527
angles: 137.30 137.30 61.97
Element x y z (fractional)
Ba 0.2500 0.7500 0.5000
Ba 0.7500 0.2500 0.5000
Ga 0.0000 0.0000 0.0000
Se 0.3450 0.3450 0.0000
Se 0.6550 0.6550 0.0000

ΔE to the lowest computed polymorph (eV per atom): 0.479
Formation energy from raw total energies (eV per atom): -0.88
DOS at the Fermi energy (states/eV/cell): 1.54